Record 1
# Ba3SrPt3, relaxed, DFT PBE-GGA
# ΔH_f (0 K), eV/atom: -0.692
# Crystal system: trigonal
data_Ba3SrPt3
_chemical_formula_sum 'Ba18 Sr6 Pt18'
_cell_length_a 9.5321
_cell_length_b 9.5321
_cell_length_c 18.6602
_cell_angle_alpha 90.00
_cell_angle_beta 90.00
_cell_angle_gamma 120.00
_space_group_name_H-M_alt 'R -3'
_space_group_IT_number 148
_space_group_name_Hall '-R 3'
loop_
_atom_site_label
_atom_site_fract_x
_atom_site_fract_y
_atom_site_fract_z
Ba1 0.0190 0.2827 0.0992
Sr1 0.0000 0.0000 0.3276
Pt1 0.0052 0.3923 0.9391

***

Record 2
# BaSr2Pt, relaxed, DFT PBE-GGA
# ΔH_f (0 K), eV/atom: -0.355
# Crystal system: tetragonal
# Energy above the lowest structure with this stoichiometry, meV/atom: 170
data_BaSr2Pt
_chemical_formula_sum 'Ba4 Sr8 Pt4'
_cell_length_a 10.4909
_cell_length_b 10.4909
_cell_length_c 6.5123
_cell_angle_alpha 90.00
_cell_angle_beta 90.00
_cell_angle_gamma 90.00
_space_group_name_H-M_alt 'I -4 2 d'
_space_group_IT_number 122
_space_group_name_Hall 'I -4 2bw'
loop_
_atom_site_label
_atom_site_fract_x
_atom_site_fract_y
_atom_site_fract_z
Ba1 0.0000 0.0000 0.0000
Sr1 0.1276 0.2500 0.6250
Pt1 0.0000 0.0000 0.5000

***

Record 3
# BaSr4Pt, relaxed, DFT PBE-GGA
# ΔH_f (0 K), eV/atom: -0.367
# Crystal system: monoclinic
# Energy above the lowest structure with this stoichiometry, meV/atom: 0
data_BaSr4Pt
_chemical_formula_sum 'Ba4 Sr16 Pt4'
_cell_length_a 19.3868
_cell_length_b 7.4946
_cell_length_c 8.3461
_cell_angle_alpha 90.00
_cell_angle_beta 106.72
_cell_angle_gamma 90.00
_space_group_name_H-M_alt 'C 1 2/c 1'
_space_group_IT_number 15
loop_
_space_group_symop_operation_xyz
'x,y,z'
'-x,-y,-z'
'-x,y,-z+1/2'
'x,-y,z+1/2'
'x+1/2,y+1/2,z'
'-x+1/2,-y+1/2,-z'
'-x+1/2,y+1/2,-z+1/2'
'x+1/2,-y+1/2,z+1/2'
loop_
_atom_site_label
_atom_site_fract_x
_atom_site_fract_y
_atom_site_fract_z
Ba1 0.0000 0.0915 0.2500
Sr1 0.1040 0.4092 0.9436
Sr2 0.2037 0.0760 0.6586
Pt1 0.2500 0.2500 0.0000

***

Record 4
# Ba8SrPt4, relaxed, DFT PBE-GGA
# ΔH_f (0 K), eV/atom: -0.572
# Crystal system: monoclinic
data_Ba8SrPt4
_chemical_formula_sum 'Ba16 Sr2 Pt8'
_cell_length_a 22.5070
_cell_length_b 4.6363
_cell_length_c 15.3853
_cell_angle_alpha 90.00
_cell_angle_beta 131.10
_cell_angle_gamma 90.00
_space_group_name_H-M_alt 'C 1 m 1'
_space_group_IT_number 8
loop_
_space_group_symop_operation_xyz
'x,y,z'
'x,-y,z'
'x+1/2,y+1/2,z'
'x+1/2,-y+1/2,z'
loop_
_atom_site_label
_atom_site_fract_x
_atom_site_fract_y
_atom_site_fract_z
Ba1 0.0000 0.0000 0.0000
Ba2 0.0299 0.0000 0.7507
Ba3 0.0732 0.0000 0.4755
Ba4 0.1543 0.5000 0.3345
Ba5 0.1979 0.5000 0.0586
Ba6 0.2285 0.5000 0.8103
Ba7 0.3239 0.0000 0.6654
Ba8 0.4039 0.0000 0.1446
Sr1 0.3634 0.0000 0.4045
Pt1 0.0106 0.5000 0.8709
Pt2 0.0276 0.0000 0.2313
Pt3 0.2000 0.5000 0.5785
Pt4 0.2174 0.0000 0.9386

***

Record 5
# BaSrPt2, relaxed, DFT PBE-GGA
# ΔH_f (0 K), eV/atom: -0.750
# Crystal system: orthorhombic
# Energy above the lowest structure with this stoichiometry, meV/atom: 0
data_BaSrPt2
_chemical_formula_sum 'Ba2 Sr2 Pt4'
_cell_length_a 4.5893
_cell_length_b 4.3777
_cell_length_c 11.4915
_cell_angle_alpha 90.00
_cell_angle_beta 90.00
_cell_angle_gamma 90.00
_space_group_name_H-M_alt 'A m m 2'
_space_group_IT_number 38
loop_
_space_group_symop_operation_xyz
'x,y,z'
'-x,-y,z'
'-x,y,z'
'x,-y,z'
'x,y+1/2,z+1/2'
'-x,-y+1/2,z+1/2'
'-x,y+1/2,z+1/2'
'x,-y+1/2,z+1/2'
loop_
_atom_site_label
_atom_site_fract_x
_atom_site_fract_y
_atom_site_fract_z
Ba1 0.0000 0.0000 0.0000
Sr1 0.5000 0.0000 0.2807
Pt1 0.0000 0.0000 0.7159
Pt2 0.5000 0.0000 0.5770

***

Record 6
# Ba2SrPt, relaxed, DFT PBE-GGA
# ΔH_f (0 K), eV/atom: -0.034
# Crystal system: cubic
# Energy above the lowest structure with this stoichiometry, meV/atom: 501
data_Ba2SrPt
_chemical_formula_sum 'Ba8 Sr4 Pt4'
_cell_length_a 8.2194
_cell_length_b 8.2194
_cell_length_c 8.2194
_cell_angle_alpha 90.00
_cell_angle_beta 90.00
_cell_angle_gamma 90.00
_space_group_name_H-M_alt 'F -4 3 m'
_space_group_IT_number 216
_space_group_name_Hall 'F -4 2 3'
loop_
_atom_site_label
_atom_site_fract_x
_atom_site_fract_y
_atom_site_fract_z
Ba1 0.0000 0.0000 0.0000
Ba2 0.2500 0.2500 0.2500
Sr1 0.0000 0.0000 0.5000
Pt1 0.2500 0.2500 0.7500

***

Record 7
# Ba2Sr2Pt, relaxed, DFT PBE-GGA
# ΔH_f (0 K), eV/atom: -0.401
# Crystal system: tetragonal
# Energy above the lowest structure with this stoichiometry, meV/atom: 31
data_Ba2Sr2Pt
_chemical_formula_sum 'Ba2 Sr2 Pt1'
_cell_length_a 6.3315
_cell_length_b 6.3315
_cell_length_c 6.1140
_cell_angle_alpha 90.00
_cell_angle_beta 90.00
_cell_angle_gamma 90.00
_space_group_name_H-M_alt 'P 4/m m m'
_space_group_IT_number 123
_space_group_name_Hall '-P 4 2'
loop_
_atom_site_label
_atom_site_fract_x
_atom_site_fract_y
_atom_site_fract_z
Ba1 0.0000 0.5000 0.0000
Sr1 0.0000 0.0000 0.5000
Sr2 0.5000 0.5000 0.5000
Pt1 0.0000 0.0000 0.0000

***

Record 8
# Ba2SrPt, relaxed, DFT PBE-GGA
# ΔH_f (0 K), eV/atom: -0.483
# Crystal system: orthorhombic
# Energy above the lowest structure with this stoichiometry, meV/atom: 52
data_Ba2SrPt
_chemical_formula_sum 'Ba4 Sr2 Pt2'
_cell_length_a 6.1605
_cell_length_b 14.5097
_cell_length_c 4.5542
_cell_angle_alpha 90.00
_cell_angle_beta 90.00
_cell_angle_gamma 90.00
_space_group_name_H-M_alt 'C m m m'
_space_group_IT_number 65
_space_group_name_Hall '-C 2 2'
loop_
_atom_site_label
_atom_site_fract_x
_atom_site_fract_y
_atom_site_fract_z
Ba1 0.0000 0.1450 0.0000
Sr1 0.0000 0.5000 0.5000
Pt1 0.0000 0.0000 0.5000

***

Record 9
# Ba6Sr2Pt, relaxed, DFT PBE-GGA
# ΔH_f (0 K), eV/atom: -0.232
# Crystal system: trigonal
data_Ba6Sr2Pt
_chemical_formula_sum 'Ba18 Sr6 Pt3'
_cell_length_a 9.0042
_cell_length_b 9.0042
_cell_length_c 22.0613
_cell_angle_alpha 90.00
_cell_angle_beta 90.00
_cell_angle_gamma 120.00
_space_group_name_H-M_alt 'R -3 m'
_space_group_IT_number 166
_space_group_name_Hall '-R 3 2"'
loop_
_atom_site_label
_atom_site_fract_x
_atom_site_fract_y
_atom_site_fract_z
Ba1 0.0061 0.5031 0.2483
Sr1 0.0000 0.0000 0.2503
Pt1 0.0000 0.0000 0.5000

***

Record 10
# BaSr4Pt, relaxed, DFT PBE-GGA
# ΔH_f (0 K), eV/atom: 0.474
# Crystal system: cubic
# Energy above the lowest structure with this stoichiometry, meV/atom: 841
data_BaSr4Pt
_chemical_formula_sum 'Ba4 Sr16 Pt4'
_cell_length_a 10.4243
_cell_length_b 10.4243
_cell_length_c 10.4243
_cell_angle_alpha 90.00
_cell_angle_beta 90.00
_cell_angle_gamma 90.00
_space_group_name_H-M_alt 'F -4 3 m'
_space_group_IT_number 216
_space_group_name_Hall 'F -4 2 3'
loop_
_atom_site_label
_atom_site_fract_x
_atom_site_fract_y
_atom_site_fract_z
Ba1 0.0000 0.0000 0.0000
Sr1 0.1242 0.1242 0.3758
Pt1 0.2500 0.2500 0.7500

***

Record 11
# Ba2SrPt, relaxed, DFT PBE-GGA
# ΔH_f (0 K), eV/atom: -0.362
# Crystal system: orthorhombic
# Energy above the lowest structure with this stoichiometry, meV/atom: 172
data_Ba2SrPt
_chemical_formula_sum 'Ba4 Sr2 Pt2'
_cell_length_a 3.9345
_cell_length_b 5.2409
_cell_length_c 16.7876
_cell_angle_alpha 90.00
_cell_angle_beta 90.00
_cell_angle_gamma 90.00
_space_group_name_H-M_alt 'I m m m'
_space_group_IT_number 71
_space_group_name_Hall '-I 2 2'
loop_
_atom_site_label
_atom_site_fract_x
_atom_site_fract_y
_atom_site_fract_z
Ba1 0.0000 0.0000 0.1570
Sr1 0.0000 0.5000 0.0000
Pt1 0.0000 0.5000 0.5000

***

Record 12
# Ba2SrPt, relaxed, DFT PBE-GGA
# ΔH_f (0 K), eV/atom: -0.410
# Crystal system: monoclinic
# Energy above the lowest structure with this stoichiometry, meV/atom: 124
data_Ba2SrPt
_chemical_formula_sum 'Ba4 Sr2 Pt2'
_cell_length_a 13.9223
_cell_length_b 4.1935
_cell_length_c 7.3846
_cell_angle_alpha 90.00
_cell_angle_beta 121.29
_cell_angle_gamma 90.00
_space_group_name_H-M_alt 'C 1 m 1'
_space_group_IT_number 8
loop_
_space_group_symop_operation_xyz
'x,y,z'
'x,-y,z'
'x+1/2,y+1/2,z'
'x+1/2,-y+1/2,z'
loop_
_atom_site_label
_atom_site_fract_x
_atom_site_fract_y
_atom_site_fract_z
Ba1 0.0000 0.0000 0.0000
Ba2 0.1687 0.0000 0.6512
Sr1 0.3407 0.0000 0.3438
Pt1 0.1763 0.5000 0.3388

***

Record 13
# BaSr2Pt, relaxed, DFT PBE-GGA
# ΔH_f (0 K), eV/atom: -0.482
# Crystal system: orthorhombic
# Energy above the lowest structure with this stoichiometry, meV/atom: 43
data_BaSr2Pt
_chemical_formula_sum 'Ba2 Sr4 Pt2'
_cell_length_a 4.4669
_cell_length_b 6.1382
_cell_length_c 14.0035
_cell_angle_alpha 90.00
_cell_angle_beta 90.00
_cell_angle_gamma 90.00
_space_group_name_H-M_alt 'A m m 2'
_space_group_IT_number 38
loop_
_space_group_symop_operation_xyz
'x,y,z'
'-x,-y,z'
'-x,y,z'
'x,-y,z'
'x,y+1/2,z+1/2'
'-x,-y+1/2,z+1/2'
'-x,y+1/2,z+1/2'
'x,-y+1/2,z+1/2'
loop_
_atom_site_label
_atom_site_fract_x
_atom_site_fract_y
_atom_site_fract_z
Ba1 0.0000 0.0000 0.0000
Sr1 0.0000 0.0000 0.2938
Sr2 0.5000 0.0000 0.6562
Pt1 0.5000 0.0000 0.1527

***

Calculated final energy, -4.35; -3.19; -2.82; -3.74; -4.67; -2.93; -3.05; -3.37; -2.56; -1.97; -3.25; -3.30; -3.31 eV/atom (same order as the records).